Crystalline Ac6Co2SiBr3 at its relaxed geometry. Source: Alexandria, functional PBE-GGA. Values from VASP.

**Raw formation energy**: -834 meV per atom
**E**: -4.9429 eV/atom
**Calculated density**: 7.2 g/cm3
**Crystal system**: monoclinic

Geometry as Quantum ESPRESSO input:
```
&SYSTEM
  ibrav = 0, nat = 12, ntyp = 4
/
ATOMIC_SPECIES
Ac 227.00 Ac.upf
Co 58.93 Co.upf
Si 28.09 Si.upf
Br 79.90 Br.upf
ATOMIC_POSITIONS crystal
Ac 0.0204 0.0204 0.2402
Ac 0.3191 0.3191 0.4488
Ac 0.3372 0.3372 0.8696
Ac 0.6628 0.6628 0.1304
Ac 0.6809 0.6809 0.5512
Ac 0.9796 0.9796 0.7598
Co 0.1696 0.1696 0.3403
Co 0.8304 0.8304 0.6597
Si 0.5000 0.5000 0.0000
Br 0.1598 0.1598 0.8416
Br 0.5000 0.5000 0.5000
Br 0.8402 0.8402 0.1584
CELL_PARAMETERS angstrom
10.1773 -2.1611 0.0000
10.1773 2.1611 0.0000
-3.2780 0.0000 9.1061
```